No. 1
# HgP2SCl

An optimized crystal structure of HgP2SCl (GGA-PBE, the Alexandria database).

The space group is P4/mmm (No. 123) and the conventional cell measures 5.2049, 5.2049 and 4.9089 Å, with angles of 90.00, 90.00 and 90.00 degrees. Symmetry generates all atoms from Hg at (0.0000, 0.0000, 0.0000), P at (0.0000, 0.5000, 0.0000), S at (0.0000, 0.0000, 0.5000) and Cl at (0.5000, 0.5000, 0.5000).

The calculation puts the density of states at the Fermi level at 4.53 states/eV/cell. For the total magnetization, the calculation gives 2.377 μB/f.u. Its crystal system is tetragonal. The energy relative to the lowest polymorph listed for this composition is 2.55 eV/f.u. The calculation puts the raw formation energy at 1.292 eV/atom.

***

No. 2
# Mg6RhAu2

An optimized crystal structure of Mg6RhAu2 (GGA-PBE, the Alexandria database).

The space group is C2/m (No. 12) and the conventional cell measures 14.1619, 6.4179 and 4.5157 Å, with angles of 90.00, 108.39 and 90.00 degrees. Symmetry generates all atoms from Mg at (0.0000, 0.2327, 0.0000), Mg at (0.1603, 0.2432, 0.6591), Rh at (0.0000, 0.0000, 0.5000) and Au at (0.1668, 0.5000, 0.1655).

The calculation puts the density of states at the Fermi level at 7.44 states/eV/cell. For the total magnetization, the calculation gives 0.000 μB/f.u. Its crystal system is monoclinic. The formation energy is -36.7 kJ per mole of atoms. The energy relative to the lowest polymorph listed for this composition is 0.17 eV/f.u.

***

No. 3
# NdTm3Sb4

An optimized crystal structure of NdTm3Sb4 (GGA-PBE, the Alexandria database).

The space group is Cmmm (No. 65) and the conventional cell measures 8.7674, 12.4053 and 4.3901 Å, with angles of 90.00, 90.00 and 90.00 degrees. Symmetry generates all atoms from Nd at (0.0000, 0.0000, 0.0000), Tm at (0.0000, 0.5000, 0.0000), Tm at (0.2500, 0.2500, 0.5000), Sb at (0.0000, 0.2541, 0.0000) and Sb at (0.2417, 0.5000, 0.5000).

The calculation puts the density of states at the Fermi level at 2.22 states/eV/cell. For the total magnetization, the calculation gives 0.000 μB/f.u. Its crystal system is orthorhombic. The calculation puts the raw formation energy at -1.089 eV/atom.

***

No. 4
# BiPdSeBr2

An optimized crystal structure of BiPdSeBr2 (GGA-PBE, the Alexandria database).

The space group is P4/mmm (No. 123) and the conventional cell measures 5.0344, 5.0344 and 5.1537 Å, with angles of 90.00, 90.00 and 90.00 degrees. Symmetry generates all atoms from Bi at (0.0000, 0.0000, 0.0000), Pd at (0.5000, 0.5000, 0.5000), Se at (0.5000, 0.5000, 0.0000) and Br at (0.0000, 0.5000, 0.5000).

The calculation puts the density of states at the Fermi level at 2.89 states/eV/cell. For the total magnetization, the calculation gives 0.000 μB/f.u. Its crystal system is tetragonal. The energy relative to the lowest polymorph listed for this composition is 0.00 eV/f.u. The calculation puts the raw formation energy at 0.013 eV/atom.

***

No. 5
# Na2LaTlI

An optimized crystal structure of Na2LaTlI (GGA-PBE, the Alexandria database).

The space group is P4/mmm (No. 123) and the conventional cell measures 6.6591, 6.6591 and 6.0225 Å, with angles of 90.00, 90.00 and 90.00 degrees. Symmetry generates all atoms from Na at (0.0000, 0.5000, 0.0000), La at (0.0000, 0.0000, 0.0000), Tl at (0.5000, 0.5000, 0.5000) and I at (0.0000, 0.0000, 0.5000).

The calculation puts the density of states at the Fermi level at 5.97 states/eV/cell. For the total magnetization, the calculation gives 0.000 μB/f.u. Its crystal system is tetragonal. The calculation puts the raw formation energy at 0.266 eV/atom.

***

No. 6
# CaNbHg2W

An optimized crystal structure of CaNbHg2W (GGA-PBE, the Alexandria database).

The space group is P4/mmm (No. 123) and the conventional cell measures 5.4059, 5.4059 and 4.7203 Å, with angles of 90.00, 90.00 and 90.00 degrees. Symmetry generates all atoms from Ca at (0.0000, 0.0000, 0.0000), Nb at (0.5000, 0.5000, 0.0000), Hg at (0.0000, 0.5000, 0.5000) and W at (0.5000, 0.5000, 0.5000).

The calculation puts the density of states at the Fermi level at 3.49 states/eV/cell. For the total magnetization, the calculation gives 0.028 μB/f.u. Its crystal system is tetragonal. The formation energy is 70.3 kJ per mole of atoms.

***

No. 7
# TaAg2Cl

An optimized crystal structure of TaAg2Cl (GGA-PBE, the Alexandria database).

The space group is Pm (No. 6) and the conventional cell measures 2.9481, 4.2723 and 6.0667 Å, with angles of 90.00, 104.01 and 90.00 degrees. Symmetry generates all atoms from Ta at (0.0000, 0.0000, 0.0000), Ag at (0.2477, 0.0000, 0.4997), Ag at (0.6358, 0.5000, 0.2739) and Cl at (0.9040, 0.5000, 0.8062).

The calculation puts the density of states at the Fermi level at 2.14 states/eV/cell. For the total magnetization, the calculation gives 0.000 μB/f.u. Its crystal system is monoclinic. The energy relative to the lowest polymorph listed for this composition is 0.68 eV/f.u. The calculation puts the raw formation energy at 0.207 eV/atom.

***

No. 8
# TaReAg2

An optimized crystal structure of TaReAg2 (GGA-PBE, the Alexandria database).

The space group is Cmmm (No. 65) and the conventional cell measures 3.1328, 4.4052 and 9.8504 Å, with angles of 90.00, 90.00 and 90.00 degrees. Symmetry generates all atoms from Ta at (0.0000, 0.0000, 0.0000), Re at (0.0000, 0.0000, 0.5000) and Ag at (0.0000, 0.5000, 0.2528).

The calculation puts the density of states at the Fermi level at 6.31 states/eV/cell. For the total magnetization, the calculation gives 0.000 μB/f.u. Its crystal system is orthorhombic. The formation energy is 53.2 kJ per mole of atoms. The energy relative to the lowest polymorph listed for this composition is 1.31 eV/f.u.

***

No. 9
# BiBPt3

An optimized crystal structure of BiBPt3 (GGA-PBE, the Alexandria database).

The space group is R3m (No. 160, hexagonal axes) and the conventional cell measures 5.7589, 5.7589 and 13.8533 Å, with angles of 90.00, 90.00 and 120.00 degrees. Symmetry generates all atoms from Bi at (0.0000, 0.0000, 0.0000), B at (0.0000, 0.0000, 0.7795) and Pt at (0.1775, 0.3550, 0.8410).

The calculation puts the density of states at the Fermi level at 13.32 states/eV/cell. For the total magnetization, the calculation gives 0.000 μB/f.u. Its crystal system is trigonal. The formation energy is 41.2 kJ per mole of atoms. The energy relative to the lowest polymorph listed for this composition is 3.23 eV/f.u.

***

No. 10
# Ce4DySb5

An optimized crystal structure of Ce4DySb5 (GGA-PBE, the Alexandria database).

The space group is Immm (No. 71) and the conventional cell measures 4.4730, 6.3373 and 22.4088 Å, with angles of 90.00, 90.00 and 90.00 degrees. Symmetry generates all atoms from Ce at (0.0000, 0.0000, 0.0996), Ce at (0.0000, 0.0000, 0.3016), Dy at (0.0000, 0.0000, 0.5000), Sb at (0.0000, 0.5000, 0.0976), Sb at (0.0000, 0.5000, 0.2997) and Sb at (0.0000, 0.5000, 0.5000).

The calculation puts the density of states at the Fermi level at 52.09 states/eV/cell. For the total magnetization, the calculation gives 3.391 μB/f.u. Its crystal system is orthorhombic. The energy relative to the lowest polymorph listed for this composition is 0.00 eV/f.u. The calculation puts the raw formation energy at -1.057 eV/atom.

***

No. 11
# BaTi3Ge

An optimized crystal structure of BaTi3Ge (GGA-PBE, the Alexandria database).

The space group is Pm-3m (No. 221) and the conventional cell measures 4.9560, 4.9560 and 4.9560 Å, with angles of 90.00, 90.00 and 90.00 degrees. Symmetry generates all atoms from Ba at (0.0000, 0.0000, 0.0000), Ti at (0.0000, 0.0000, 0.5000) and Ge at (0.5000, 0.5000, 0.5000).

The calculation puts the density of states at the Fermi level at 8.22 states/eV/cell. For the total magnetization, the calculation gives 0.573 μB/f.u. Its crystal system is cubic. The formation energy is 178.0 kJ per mole of atoms. The energy relative to the lowest polymorph listed for this composition is 6.62 eV/f.u.

***

No. 12
# Pm2Al3Cu4Hg

An optimized crystal structure of Pm2Al3Cu4Hg (GGA-PBE, the Alexandria database).

The space group is P-4m2 (No. 115) and the conventional cell measures 4.2407, 4.2407 and 10.4585 Å, with angles of 90.00, 90.00 and 90.00 degrees. Symmetry generates all atoms from Pm at (0.0000, 0.5000, 0.2380), Al at (0.0000, 0.5000, 0.8808), Al at (0.5000, 0.5000, 0.5000), Cu at (0.0000, 0.0000, 0.0000), Cu at (0.0000, 0.5000, 0.6492), Cu at (0.5000, 0.5000, 0.0000) and Hg at (0.0000, 0.0000, 0.5000).

The calculation puts the density of states at the Fermi level at 7.25 states/eV/cell. For the total magnetization, the calculation gives 0.000 μB/f.u. Its crystal system is tetragonal. The formation energy is -30.9 kJ per mole of atoms.

***

No. 13
# RhBrCl3

An optimized crystal structure of RhBrCl3 (GGA-PBE, the Alexandria database).

The space group is Pm-3m (No. 221) and the conventional cell measures 5.2147, 5.2147 and 5.2147 Å, with angles of 90.00, 90.00 and 90.00 degrees. Symmetry generates all atoms from Rh at (0.0000, 0.0000, 0.0000), Br at (0.5000, 0.5000, 0.5000) and Cl at (0.0000, 0.5000, 0.5000).

The calculation puts the density of states at the Fermi level at 14.44 states/eV/cell. For the total magnetization, the calculation gives 1.973 μB/f.u. Its crystal system is cubic. The energy relative to the lowest polymorph listed for this composition is 6.34 eV/f.u. The calculation puts the raw formation energy at 0.887 eV/atom.